# 1
# PaSnRh3 PBE relaxed
data_PaSnRh3
_symmetry_space_group_name_H-M 'C 1 2/m 1'
_symmetry_Int_Tables_number 12
_cell_length_a 11.678
_cell_length_b 4.653
_cell_length_c 7.701
_cell_angle_alpha 90.00
_cell_angle_beta 93.27
_cell_angle_gamma 90.00
loop_
_symmetry_equiv_pos_as_xyz
'x,y,z'
'-x,-y,-z'
'-x,y,-z'
'x,-y,z'
'x+1/2,y+1/2,z'
'-x+1/2,-y+1/2,-z'
'-x+1/2,y+1/2,-z'
'x+1/2,-y+1/2,z'
loop_
_atom_site_label
_atom_site_fract_x
_atom_site_fract_y
_atom_site_fract_z
Pa1 0.116 0.000 0.181
Sn1 0.101 0.500 0.632
Rh1 0.100 0.000 0.821
Rh2 0.182 0.000 0.483
Rh3 0.185 0.500 0.972
# Magnetic moment = 0.000 μB/atom
# N(E_F) = 2.9 states/eV/f.u.
# Polymorph energy (0 for the lowest one) = 0.091 eV per atom
# DFT formation energy = -0.526 eV per atom

***

# 2
# Pa2SnRh6 PBE relaxed
data_Pa2SnRh6
_symmetry_space_group_name_H-M 'P 42/m n m'
_symmetry_Int_Tables_number 136
_symmetry_space_group_name_Hall '-P 4n 2n'
_cell_length_a 6.594
_cell_length_b 6.594
_cell_length_c 9.894
_cell_angle_alpha 90.00
_cell_angle_beta 90.00
_cell_angle_gamma 90.00
loop_
_atom_site_label
_atom_site_fract_x
_atom_site_fract_y
_atom_site_fract_z
Pa1 0.000 0.000 0.166
Sn1 0.000 0.000 0.500
Rh1 0.204 0.204 0.000
Rh2 0.205 0.205 0.315
# Magnetic moment = 0.000 μB/atom
# N(E_F) = 3.6 states/eV/f.u.
# DFT formation energy = 0.165 eV per atom

***

# 3
# Pa2Sn8Rh PBE relaxed
data_Pa2Sn8Rh
_symmetry_space_group_name_H-M 'P 4/m m m'
_symmetry_Int_Tables_number 123
_symmetry_space_group_name_Hall '-P 4 2'
_cell_length_a 4.657
_cell_length_b 4.657
_cell_length_c 12.306
_cell_angle_alpha 90.00
_cell_angle_beta 90.00
_cell_angle_gamma 90.00
loop_
_atom_site_label
_atom_site_fract_x
_atom_site_fract_y
_atom_site_fract_z
Pa1 0.000 0.000 0.184
Sn1 0.000 0.500 0.000
Sn2 0.000 0.500 0.374
Sn3 0.500 0.500 0.188
Rh1 0.000 0.000 0.500
# Magnetic moment = 0.000 μB/atom
# N(E_F) = 9.0 states/eV/f.u.
# DFT formation energy = -0.281 eV per atom

***

# 4
# PaSnRh3 PBE relaxed
data_PaSnRh3
_symmetry_space_group_name_H-M 'P 1 21/m 1'
_symmetry_Int_Tables_number 11
_cell_length_a 5.044
_cell_length_b 5.394
_cell_length_c 7.276
_cell_angle_alpha 90.00
_cell_angle_beta 109.36
_cell_angle_gamma 90.00
loop_
_symmetry_equiv_pos_as_xyz
'x,y,z'
'-x,-y,-z'
'-x,y+1/2,-z'
'x,-y+1/2,z'
loop_
_atom_site_label
_atom_site_fract_x
_atom_site_fract_y
_atom_site_fract_z
Pa1 0.091 0.250 0.173
Sn1 0.465 0.250 0.656
Rh1 0.020 0.250 0.773
Rh2 0.279 0.750 0.638
Rh3 0.500 0.000 0.000
# Magnetic moment = 0.000 μB/atom
# N(E_F) = 2.7 states/eV/f.u.
# Polymorph energy (0 for the lowest one) = 0.000 eV per atom
# DFT formation energy = -0.617 eV per atom

***

# 5
# Pa2Sn2Rh7 PBE relaxed
data_Pa2Sn2Rh7
_symmetry_space_group_name_H-M 'C 1 2/m 1'
_symmetry_Int_Tables_number 12
_cell_length_a 8.851
_cell_length_b 7.283
_cell_length_c 6.741
_cell_angle_alpha 90.00
_cell_angle_beta 102.34
_cell_angle_gamma 90.00
loop_
_symmetry_equiv_pos_as_xyz
'x,y,z'
'-x,-y,-z'
'-x,y,-z'
'x,-y,z'
'x+1/2,y+1/2,z'
'-x+1/2,-y+1/2,-z'
'-x+1/2,y+1/2,-z'
'x+1/2,-y+1/2,z'
loop_
_atom_site_label
_atom_site_fract_x
_atom_site_fract_y
_atom_site_fract_z
Pa1 0.223 0.000 0.070
Sn1 0.000 0.303 0.500
Rh1 0.000 0.500 0.000
Rh2 0.002 0.000 0.276
Rh3 0.221 0.299 0.276
# Magnetic moment = 0.000 μB/atom
# N(E_F) = 6.2 states/eV/f.u.
# DFT formation energy = -0.476 eV per atom

***

# 6
# PaTcSnRh PBE relaxed
data_PaTcSnRh
_symmetry_space_group_name_H-M 'F -4 3 m'
_symmetry_Int_Tables_number 216
_symmetry_space_group_name_Hall 'F -4 2 3'
_cell_length_a 6.740
_cell_length_b 6.740
_cell_length_c 6.740
_cell_angle_alpha 90.00
_cell_angle_beta 90.00
_cell_angle_gamma 90.00
loop_
_atom_site_label
_atom_site_fract_x
_atom_site_fract_y
_atom_site_fract_z
Pa1 0.000 0.000 0.000
Tc1 0.250 0.250 0.750
Sn1 0.000 0.000 0.500
Rh1 0.250 0.250 0.250
# Magnetic moment = 0.002 μB/atom
# N(E_F) = 5.5 states/eV/f.u.
# Polymorph energy (0 for the lowest one) = 0.092 eV per atom
# DFT formation energy = -0.384 eV per atom

***

# 7
# PaTcSnRh PBE relaxed
data_PaTcSnRh
_symmetry_space_group_name_H-M 'P m m m'
_symmetry_Int_Tables_number 47
_cell_length_a 3.734
_cell_length_b 4.241
_cell_length_c 4.771
_cell_angle_alpha 90.00
_cell_angle_beta 90.00
_cell_angle_gamma 90.00
loop_
_symmetry_equiv_pos_as_xyz
'x,y,z'
'-x,-y,-z'
'-x,-y,z'
'x,y,-z'
'x,-y,-z'
'-x,y,z'
'-x,y,-z'
'x,-y,z'
loop_
_atom_site_label
_atom_site_fract_x
_atom_site_fract_y
_atom_site_fract_z
Pa1 0.000 0.000 0.000
Tc1 0.500 0.500 0.000
Sn1 0.000 0.500 0.500
Rh1 0.500 0.000 0.500
# Magnetic moment = 0.000 μB/atom
# N(E_F) = 3.2 states/eV/f.u.
# Polymorph energy (0 for the lowest one) = 0.000 eV per atom
# DFT formation energy = -0.476 eV per atom

***

# 8
# PaVSnRh PBE relaxed
data_PaVSnRh
_symmetry_space_group_name_H-M 'F -4 3 m'
_symmetry_Int_Tables_number 216
_symmetry_space_group_name_Hall 'F -4 2 3'
_cell_length_a 6.713
_cell_length_b 6.713
_cell_length_c 6.713
_cell_angle_alpha 90.00
_cell_angle_beta 90.00
_cell_angle_gamma 90.00
loop_
_atom_site_label
_atom_site_fract_x
_atom_site_fract_y
_atom_site_fract_z
Pa1 0.000 0.000 0.000
V1 0.250 0.250 0.250
Sn1 0.000 0.000 0.500
Rh1 0.250 0.250 0.750
# Magnetic moment = 0.251 μB/atom
# N(E_F) = 5.8 states/eV/f.u.
# DFT formation energy = -0.253 eV per atom

***

# 9
# SrPaRh3 PBE relaxed
data_SrPaRh3
_symmetry_space_group_name_H-M 'P 1'
_symmetry_Int_Tables_number 1
_cell_length_a 5.681
_cell_length_b 6.731
_cell_length_c 6.808
_cell_angle_alpha 103.37
_cell_angle_beta 94.16
_cell_angle_gamma 114.71
loop_
_symmetry_equiv_pos_as_xyz
'x,y,z'
loop_
_atom_site_label
_atom_site_fract_x
_atom_site_fract_y
_atom_site_fract_z
Sr1 0.000 0.000 0.000
Sr2 0.446 0.826 0.252
Pa1 0.301 0.624 0.683
Pa2 0.750 0.453 0.276
Rh1 0.002 0.848 0.486
Rh2 0.418 0.417 0.897
Rh3 0.433 0.268 0.478
Rh4 0.487 0.021 0.762
Rh5 0.918 0.428 0.957
Rh6 0.928 0.238 0.549
# Magnetic moment = 0.000 μB/atom
# N(E_F) = 2.6 states/eV/f.u.
# DFT formation energy = -0.476 eV per atom

***

# 10
# SrPaRh4 PBE relaxed
data_SrPaRh4
_symmetry_space_group_name_H-M 'F -4 3 m'
_symmetry_Int_Tables_number 216
_symmetry_space_group_name_Hall 'F -4 2 3'
_cell_length_a 7.610
_cell_length_b 7.610
_cell_length_c 7.610
_cell_angle_alpha 90.00
_cell_angle_beta 90.00
_cell_angle_gamma 90.00
loop_
_atom_site_label
_atom_site_fract_x
_atom_site_fract_y
_atom_site_fract_z
Sr1 0.000 0.000 0.000
Pa1 0.250 0.250 0.750
Rh1 0.125 0.125 0.375
# Magnetic moment = 0.000 μB/atom
# N(E_F) = 5.4 states/eV/f.u.
# DFT formation energy = -0.441 eV per atom

***

# 11
# SrPaRh2 PBE relaxed
data_SrPaRh2
_symmetry_space_group_name_H-M 'R -3 m'
_symmetry_Int_Tables_number 166
_symmetry_space_group_name_Hall '-R 3 2"'
_cell_length_a 3.8683
_cell_length_b 3.8683
_cell_length_c 22.7894
_cell_angle_alpha 90.00
_cell_angle_beta 90.00
_cell_angle_gamma 120.00
loop_
_atom_site_label
_atom_site_fract_x
_atom_site_fract_y
_atom_site_fract_z
Sr1 0.0000 0.0000 0.0000
Pa1 0.0000 0.0000 0.5000
Rh1 0.0000 0.0000 0.2347
# Magnetic moment = 0.000 μB/atom
# N(E_F) = 3.0 states/eV/f.u.
# Polymorph energy (0 for the lowest one) = 0.068 eV per atom
# DFT formation energy = -0.550 eV per atom

***

# 12
# SrPaRh2 PBE relaxed
data_SrPaRh2
_symmetry_space_group_name_H-M 'P 4/m m m'
_symmetry_Int_Tables_number 123
_symmetry_space_group_name_Hall '-P 4 2'
_cell_length_a 3.488
_cell_length_b 3.488
_cell_length_c 7.549
_cell_angle_alpha 90.00
_cell_angle_beta 90.00
_cell_angle_gamma 90.00
loop_
_atom_site_label
_atom_site_fract_x
_atom_site_fract_y
_atom_site_fract_z
Sr1 0.000 0.000 0.000
Pa1 0.000 0.000 0.500
Rh1 0.500 0.500 0.308
# Magnetic moment = 0.000 μB/atom
# N(E_F) = 2.9 states/eV/f.u.
# Polymorph energy (0 for the lowest one) = 0.000 eV per atom
# DFT formation energy = -0.618 eV per atom

***

# 13
# PaTaRh PBE relaxed
data_PaTaRh
_symmetry_space_group_name_H-M 'I 4 m m'
_symmetry_Int_Tables_number 107
_symmetry_space_group_name_Hall 'I 4 -2'
_cell_length_a 3.062
_cell_length_b 3.062
_cell_length_c 12.395
_cell_angle_alpha 90.00
_cell_angle_beta 90.00
_cell_angle_gamma 90.00
loop_
_atom_site_label
_atom_site_fract_x
_atom_site_fract_y
_atom_site_fract_z
Pa1 0.000 0.000 0.000
Ta1 0.000 0.000 0.687
Rh1 0.000 0.000 0.317
# Magnetic moment = 0.000 μB/atom
# N(E_F) = 3.4 states/eV/f.u.
# Polymorph energy (0 for the lowest one) = 0.000 eV per atom
# DFT formation energy = -0.307 eV per atom

***

# 14
# PaTaRh PBE relaxed
data_PaTaRh
_symmetry_space_group_name_H-M 'F -4 3 m'
_symmetry_Int_Tables_number 216
_symmetry_space_group_name_Hall 'F -4 2 3'
_cell_length_a 10.101
_cell_length_b 10.101
_cell_length_c 10.101
_cell_angle_alpha 90.00
_cell_angle_beta 90.00
_cell_angle_gamma 90.00
loop_
_atom_site_label
_atom_site_fract_x
_atom_site_fract_y
_atom_site_fract_z
Pa1 0.122 0.122 0.122
Ta1 0.153 0.153 0.653
Rh1 0.102 0.102 0.398
# Magnetic moment = 0.000 μB/atom
# N(E_F) = 3.9 states/eV/f.u.
# Polymorph energy (0 for the lowest one) = 0.236 eV per atom
# DFT formation energy = -0.071 eV per atom

***

# 15
# PaTa2Rh PBE relaxed
data_PaTa2Rh
_symmetry_space_group_name_H-M 'P 4/m m m'
_symmetry_Int_Tables_number 123
_symmetry_space_group_name_Hall '-P 4 2'
_cell_length_a 3.398
_cell_length_b 3.398
_cell_length_c 6.485
_cell_angle_alpha 90.00
_cell_angle_beta 90.00
_cell_angle_gamma 90.00
loop_
_atom_site_label
_atom_site_fract_x
_atom_site_fract_y
_atom_site_fract_z
Pa1 0.000 0.000 0.000
Ta1 0.500 0.500 0.265
Rh1 0.000 0.000 0.500
# Magnetic moment = 0.000 μB/atom
# N(E_F) = 4.7 states/eV/f.u.
# Polymorph energy (0 for the lowest one) = 0.000 eV per atom
# DFT formation energy = 0.058 eV per atom

***

# 16
# Pa3TaRh12 PBE relaxed
data_Pa3TaRh12
_symmetry_space_group_name_H-M 'P 4/m m m'
_symmetry_Int_Tables_number 123
_symmetry_space_group_name_Hall '-P 4 2'
_cell_length_a 4.021
_cell_length_b 4.021
_cell_length_c 16.054
_cell_angle_alpha 90.00
_cell_angle_beta 90.00
_cell_angle_gamma 90.00
loop_
_atom_site_label
_atom_site_fract_x
_atom_site_fract_y
_atom_site_fract_z
Pa1 0.000 0.000 0.000
Pa2 0.000 0.000 0.254
Ta1 0.000 0.000 0.500
Rh1 0.000 0.500 0.128
Rh2 0.000 0.500 0.383
Rh3 0.500 0.500 0.000
Rh4 0.500 0.500 0.256
Rh5 0.500 0.500 0.500
# Magnetic moment = 0.000 μB/atom
# N(E_F) = 11.8 states/eV/f.u.
# DFT formation energy = -0.812 eV per atom

***

# 17
# PaTa2Rh PBE relaxed
data_PaTa2Rh
_symmetry_space_group_name_H-M 'R -3 m'
_symmetry_Int_Tables_number 166
_symmetry_space_group_name_Hall '-R 3 2"'
_cell_length_a 2.9677
_cell_length_b 2.9677
_cell_length_c 30.1108
_cell_angle_alpha 90.00
_cell_angle_beta 90.00
_cell_angle_gamma 120.00
loop_
_atom_site_label
_atom_site_fract_x
_atom_site_fract_y
_atom_site_fract_z
Pa1 0.0000 0.0000 0.0000
Ta1 0.0000 0.0000 0.0947
Rh1 0.0000 0.0000 0.5000
# Magnetic moment = 0.000 μB/atom
# N(E_F) = 5.0 states/eV/f.u.
# Polymorph energy (0 for the lowest one) = 0.207 eV per atom
# DFT formation energy = 0.265 eV per atom

***

# 18
# PaTaRh PBE relaxed
data_PaTaRh
_symmetry_space_group_name_H-M 'P 3 m 1'
_symmetry_Int_Tables_number 156
_cell_length_a 4.7352
_cell_length_b 4.7352
_cell_length_c 2.9797
_cell_angle_alpha 90.00
_cell_angle_beta 90.00
_cell_angle_gamma 120.00
loop_
_symmetry_equiv_pos_as_xyz
'x,y,z'
'-y,x-y,z'
'-x+y,-x,z'
'-y,-x,z'
'-x+y,y,z'
'x,x-y,z'
loop_
_atom_site_label
_atom_site_fract_x
_atom_site_fract_y
_atom_site_fract_z
Pa1 0.0000 0.0000 0.0000
Ta1 0.3333 0.6667 0.5877
Rh1 0.6667 0.3333 0.2562
# Magnetic moment = 0.000 μB/atom
# N(E_F) = 6.2 states/eV/f.u.
# Polymorph energy (0 for the lowest one) = 0.313 eV per atom
# DFT formation energy = 0.006 eV per atom

***

# 19
# PaTaRh2 PBE relaxed
data_PaTaRh2
_symmetry_space_group_name_H-M 'P 4/m m m'
_symmetry_Int_Tables_number 123
_symmetry_space_group_name_Hall '-P 4 2'
_cell_length_a 4.264
_cell_length_b 4.264
_cell_length_c 3.958
_cell_angle_alpha 90.00
_cell_angle_beta 90.00
_cell_angle_gamma 90.00
loop_
_atom_site_label
_atom_site_fract_x
_atom_site_fract_y
_atom_site_fract_z
Pa1 0.000 0.000 0.000
Ta1 0.500 0.500 0.000
Rh1 0.000 0.500 0.500
# Magnetic moment = 0.090 μB/atom
# N(E_F) = 6.2 states/eV/f.u.
# Polymorph energy (0 for the lowest one) = 0.057 eV per atom
# DFT formation energy = -0.436 eV per atom

***

# 20
# PaTaRh2 PBE relaxed
data_PaTaRh2
_symmetry_space_group_name_H-M 'P 4/m m m'
_symmetry_Int_Tables_number 123
_symmetry_space_group_name_Hall '-P 4 2'
_cell_length_a 3.161
_cell_length_b 3.161
_cell_length_c 7.267
_cell_angle_alpha 90.00
_cell_angle_beta 90.00
_cell_angle_gamma 90.00
loop_
_atom_site_label
_atom_site_fract_x
_atom_site_fract_y
_atom_site_fract_z
Pa1 0.000 0.000 0.000
Ta1 0.000 0.000 0.500
Rh1 0.500 0.500 0.289
# Magnetic moment = 0.000 μB/atom
# N(E_F) = 4.0 states/eV/f.u.
# Polymorph energy (0 for the lowest one) = 0.000 eV per atom
# DFT formation energy = -0.493 eV per atom

***

# 21
# Pa2TaRh PBE relaxed
data_Pa2TaRh
_symmetry_space_group_name_H-M 'R -3 m'
_symmetry_Int_Tables_number 166
_symmetry_space_group_name_Hall '-R 3 2"'
_cell_length_a 3.0608
_cell_length_b 3.0608
_cell_length_c 31.1977
_cell_angle_alpha 90.00
_cell_angle_beta 90.00
_cell_angle_gamma 120.00
loop_
_atom_site_label
_atom_site_fract_x
_atom_site_fract_y
_atom_site_fract_z
Pa1 0.0000 0.0000 0.0912
Ta1 0.0000 0.0000 0.0000
Rh1 0.0000 0.0000 0.5000
# Magnetic moment = 0.000 μB/atom
# N(E_F) = 5.2 states/eV/f.u.
# DFT formation energy = 0.169 eV per atom

***

# 22
# PaTaRh2 PBE relaxed
data_PaTaRh2
_symmetry_space_group_name_H-M 'R -3 m'
_symmetry_Int_Tables_number 166
_symmetry_space_group_name_Hall '-R 3 2"'
_cell_length_a 4.4149
_cell_length_b 4.4149
_cell_length_c 13.7011
_cell_angle_alpha 90.00
_cell_angle_beta 90.00
_cell_angle_gamma 120.00
loop_
_atom_site_label
_atom_site_fract_x
_atom_site_fract_y
_atom_site_fract_z
Pa1 0.0000 0.0000 0.0000
Ta1 0.0000 0.0000 0.5000
Rh1 0.0000 0.0000 0.2229
# Magnetic moment = 0.000 μB/atom
# N(E_F) = 4.8 states/eV/f.u.
# Polymorph energy (0 for the lowest one) = 0.050 eV per atom
# DFT formation energy = -0.443 eV per atom

***

# 23
# TbPaRh3 PBE relaxed
data_TbPaRh3
_symmetry_space_group_name_H-M 'P 1 21/m 1'
_symmetry_Int_Tables_number 11
_cell_length_a 4.115
_cell_length_b 5.688
_cell_length_c 8.875
_cell_angle_alpha 90.00
_cell_angle_beta 103.35
_cell_angle_gamma 90.00
loop_
_symmetry_equiv_pos_as_xyz
'x,y,z'
'-x,-y,-z'
'-x,y+1/2,-z'
'x,-y+1/2,z'
loop_
_atom_site_label
_atom_site_fract_x
_atom_site_fract_y
_atom_site_fract_z
Tb1 0.186 0.250 0.373
Pa1 0.414 0.250 0.827
Rh1 0.000 0.000 0.000
Rh2 0.193 0.750 0.384
Rh3 0.430 0.750 0.860
# Magnetic moment = 0.000 μB/atom
# N(E_F) = 4.0 states/eV/f.u.
# DFT formation energy = -0.759 eV per atom

***

# 24
# Tb3PaRh3 PBE relaxed
data_Tb3PaRh3
_symmetry_space_group_name_H-M 'P n m a'
_symmetry_Int_Tables_number 62
_cell_length_a 12.058
_cell_length_b 4.109
_cell_length_c 13.424
_cell_angle_alpha 90.00
_cell_angle_beta 90.00
_cell_angle_gamma 90.00
loop_
_symmetry_equiv_pos_as_xyz
'x,y,z'
'-x,-y,-z'
'-x+1/2,-y,z+1/2'
'x+1/2,y,-z+1/2'
'x+1/2,-y+1/2,-z+1/2'
'-x+1/2,y+1/2,z+1/2'
'-x,y+1/2,-z'
'x,-y+1/2,z'
loop_
_atom_site_label
_atom_site_fract_x
_atom_site_fract_y
_atom_site_fract_z
Tb1 0.052 0.250 0.098
Tb2 0.186 0.750 0.512
Tb3 0.250 0.250 0.299
Pa1 0.033 0.250 0.684
Rh1 0.046 0.250 0.425
Rh2 0.105 0.250 0.873
Rh3 0.244 0.750 0.151
# Magnetic moment = 0.000 μB/atom
# N(E_F) = 5.6 states/eV/f.u.
# DFT formation energy = -0.669 eV per atom